# Ac2Y3Ho8

An optimized crystal structure of Ac2Y3Ho8 (PBE, Alexandria via LeMat-Bulk).

Unit cell a=7.755 b=21.773 c=5.464 alpha=90.00 beta=90.00 gamma=90.00
Space group Cmmm (No. 65)
One atom of each set of equivalent atoms:
Ac 0.000 0.239 0.000 [4 per cell]
Y 0.000 0.000 0.000 [2 per cell]
Y 0.208 0.500 0.500 [4 per cell]
Ho 0.000 0.119 0.500 [4 per cell]
Ho 0.000 0.348 0.500 [4 per cell]
Ho 0.213 0.397 0.000 [8 per cell]

Output
size of the total moment	0.0	μB/f.u.
total DFT energy (no corrections)	-122.13	eV for the cell shown
energy relative to the elements	0.244	eV/atom